[1]
CePm2NdTe5 | GGA-PBE | optimized geometry

The formation energy without anion corrections is -0.7106 eV/atom.

The space group is P4/mmm (No. 123) and the conventional cell measures 5.6924, 5.6924 and 12.0039 Å, with angles of 90.00, 90.00 and 90.00 degrees. The asymmetric unit holds Ce at (0.0000, 0.0000, 0.0000), Pm at (0.5000, 0.5000, 0.3508), Nd at (0.0000, 0.0000, 0.5000), Te at (0.0000, 0.0000, 0.2486), Te at (0.0000, 0.5000, 0.5000) and Te at (0.5000, 0.5000, 0.0000).

---

[2]
MgTe2P | GGA-PBE | optimized geometry

The formation energy without anion corrections is 0.2612 eV/atom. The energy above the lowest structure with this stoichiometry comes out at 478 meV/atom.

The space group is Fm-3m (No. 225) and the conventional cell measures 7.2002, 7.2002 and 7.2002 Å, with angles of 90.00, 90.00 and 90.00 degrees. The asymmetric unit holds Mg at (0.0000, 0.0000, 0.0000), Te at (0.2500, 0.2500, 0.2500) and P at (0.0000, 0.0000, 0.5000).

---

[3]
CaGd3Ir | GGA-PBE | optimized geometry

The formation energy is -0.33 eV/atom.

The space group is Pm-3m (No. 221) and the conventional cell measures 5.5293, 5.5293 and 5.5293 Å, with angles of 90.00, 90.00 and 90.00 degrees. The asymmetric unit holds Ca at (0.0000, 0.0000, 0.0000), Gd at (0.0000, 0.5000, 0.5000) and Ir at (0.5000, 0.5000, 0.5000).